# 1
# BiSbCl (PBE-GGA, optimized geometry)
# E above lowest polymorph   0.00 kJ/mol of atoms
# ΔE_f (raw)   -0.390 eV/atom
data_BiSbCl
_symmetry_space_group_name_H-M 'P -1'
_symmetry_Int_Tables_number 2
_symmetry_space_group_name_Hall '-P 1'
_cell_length_a 4.404
_cell_length_b 6.150
_cell_length_c 8.019
_cell_angle_alpha 75.73
_cell_angle_beta 74.06
_cell_angle_gamma 69.09
loop_
_atom_site_label
_atom_site_fract_x
_atom_site_fract_y
_atom_site_fract_z
Bi1 0.223 0.278 0.277
Sb1 0.130 0.756 0.984
Cl1 0.406 0.802 0.385

=====

# 2
# Sr2Li4TlBi3 (PBE-GGA, optimized geometry)
# Formation energy from the elements   -0.575 eV/atom
data_Sr2Li4TlBi3
_symmetry_space_group_name_H-M 'P -4 m 2'
_symmetry_Int_Tables_number 115
_symmetry_space_group_name_Hall 'P -4 -2'
_cell_length_a 4.813
_cell_length_b 4.813
_cell_length_c 11.746
_cell_angle_alpha 90.00
_cell_angle_beta 90.00
_cell_angle_gamma 90.00
loop_
_atom_site_label
_atom_site_fract_x
_atom_site_fract_y
_atom_site_fract_z
Sr1 0.000 0.500 0.239
Li1 0.000 0.000 0.000
Li2 0.000 0.500 0.632
Li3 0.500 0.500 0.000
Tl1 0.000 0.000 0.500
Bi1 0.000 0.500 0.863
Bi2 0.500 0.500 0.500

=====

# 3
# TlWSe2 (PBE-GGA, optimized geometry)
# E above lowest polymorph   0.31 kJ/mol of atoms
# ΔE_f (raw)   -0.200 eV/atom
data_TlWSe2
_symmetry_space_group_name_H-M 'C 1 2/m 1'
_symmetry_Int_Tables_number 12
_symmetry_space_group_name_Hall '-C 2y'
_cell_length_a 5.774
_cell_length_b 3.337
_cell_length_c 9.744
_cell_angle_alpha 90.00
_cell_angle_beta 99.85
_cell_angle_gamma 90.00
loop_
_atom_site_label
_atom_site_fract_x
_atom_site_fract_y
_atom_site_fract_z
Tl1 0.000 0.000 0.000
W1 0.000 0.500 0.500
Se1 0.218 0.000 0.679

=====

# 4
# MgNiAuSe (PBE-GGA, optimized geometry)
# E above lowest polymorph   7.30 kJ/mol of atoms
# ΔE_f (raw)   -0.275 eV/atom
data_MgNiAuSe
_symmetry_space_group_name_H-M 'P m m 2'
_symmetry_Int_Tables_number 25
_symmetry_space_group_name_Hall 'P 2 -2'
_cell_length_a 3.257
_cell_length_b 3.436
_cell_length_c 6.499
_cell_angle_alpha 90.00
_cell_angle_beta 90.00
_cell_angle_gamma 90.00
loop_
_atom_site_label
_atom_site_fract_x
_atom_site_fract_y
_atom_site_fract_z
Mg1 0.000 0.000 0.000
Ni1 0.000 0.500 0.570
Au1 0.500 0.500 0.223
Se1 0.500 0.000 0.653

=====

# 5
# ZnH2Br2 (PBE-GGA, optimized geometry)
# E above lowest polymorph   20.54 kJ/mol of atoms
data_ZnH2Br2
_symmetry_space_group_name_H-M 'I 41/a m d'
_symmetry_Int_Tables_number 141
_cell_length_a 3.965
_cell_length_b 3.965
_cell_length_c 32.304
_cell_angle_alpha 90.00
_cell_angle_beta 90.00
_cell_angle_gamma 90.00
loop_
_symmetry_equiv_pos_as_xyz
'x,y,z'
'-x,-y,-z'
'-y+1/4,x+3/4,z+1/4'
'y+1/4,-x+3/4,-z+1/4'
'-x+1/2,-y,z+1/2'
'x+1/2,y,-z+1/2'
'y+1/4,-x+1/4,z+3/4'
'-y+1/4,x+1/4,-z+3/4'
'x,-y,-z'
'-x,y,z'
'-y+1/4,-x+1/4,-z+3/4'
'y+1/4,x+1/4,z+3/4'
'-x+1/2,y,-z+1/2'
'x+1/2,-y,z+1/2'
'y+1/4,x+3/4,-z+1/4'
'-y+1/4,-x+3/4,z+1/4'
'x+1/2,y+1/2,z+1/2'
'-x+1/2,-y+1/2,-z+1/2'
'-y+3/4,x+1/4,z+3/4'
'y+3/4,-x+1/4,-z+3/4'
'-x,-y+1/2,z'
'x,y+1/2,-z'
'y+3/4,-x+3/4,z+1/4'
'-y+3/4,x+3/4,-z+1/4'
'x+1/2,-y+1/2,-z+1/2'
'-x+1/2,y+1/2,z+1/2'
'-y+3/4,-x+3/4,-z+1/4'
'y+3/4,x+3/4,z+1/4'
'-x,y+1/2,-z'
'x,-y+1/2,z'
'y+3/4,x+1/4,-z+3/4'
'-y+3/4,-x+1/4,z+3/4'
loop_
_atom_site_label
_atom_site_fract_x
_atom_site_fract_y
_atom_site_fract_z
Zn1 0.000 0.250 0.375
H1 0.000 0.250 0.036
Br1 0.000 0.250 0.170

=====

# 6
# DyEr3Se6 (PBE-GGA, optimized geometry)
# E above lowest polymorph   2.93 kJ/mol of atoms
# ΔE_f (raw)   -1.826 eV/atom
data_DyEr3Se6
_symmetry_space_group_name_H-M 'R -3'
_symmetry_Int_Tables_number 148
_symmetry_space_group_name_Hall '-R 3'
_cell_length_a 11.8933
_cell_length_b 11.8933
_cell_length_c 14.2362
_cell_angle_alpha 90.00
_cell_angle_beta 90.00
_cell_angle_gamma 120.00
loop_
_atom_site_label
_atom_site_fract_x
_atom_site_fract_y
_atom_site_fract_z
Dy1 0.0000 0.0000 0.0000
Dy2 0.0000 0.0000 0.5000
Er1 0.0529 0.7812 0.2017
Se1 0.0182 0.8052 0.3958
Se2 0.0323 0.8369 0.8738

=====

# 7
# PmDyBr6 (PBE-GGA, optimized geometry)
# E above lowest polymorph   1.52 kJ/mol of atoms
# ΔE_f (raw)   -1.826 eV/atom
data_PmDyBr6
_symmetry_space_group_name_H-M 'R -3'
_symmetry_Int_Tables_number 148
_symmetry_space_group_name_Hall '-R 3'
_cell_length_a 7.1342
_cell_length_b 7.1342
_cell_length_c 19.5164
_cell_angle_alpha 90.00
_cell_angle_beta 90.00
_cell_angle_gamma 120.00
loop_
_atom_site_label
_atom_site_fract_x
_atom_site_fract_y
_atom_site_fract_z
Pm1 0.0000 0.0000 0.0000
Dy1 0.0000 0.0000 0.5000
Br1 0.0061 0.3274 0.5822

=====

# 8
# Dy4P3Se (PBE-GGA, optimized geometry)
# E above lowest polymorph   1.48 kJ/mol of atoms
# ΔE_f (raw)   -1.695 eV/atom
data_Dy4P3Se
_symmetry_space_group_name_H-M 'P m -3 m'
_symmetry_Int_Tables_number 221
_symmetry_space_group_name_Hall '-P 4 2 3'
_cell_length_a 5.687
_cell_length_b 5.687
_cell_length_c 5.687
_cell_angle_alpha 90.00
_cell_angle_beta 90.00
_cell_angle_gamma 90.00
loop_
_atom_site_label
_atom_site_fract_x
_atom_site_fract_y
_atom_site_fract_z
Dy1 0.000 0.000 0.000
Dy2 0.000 0.500 0.500
P1 0.000 0.000 0.500
Se1 0.500 0.500 0.500